(1)
# Rb2Cu2Te4As

A relaxed Rb2Cu2Te4As crystal (PBE-GGA, Alexandria via LeMat-Bulk).

## Properties
Uncorrected formation energy = -3.251 eV/f.u.

```
data_Rb2Cu2Te4As
_cell_length_a 4.4238
_cell_length_b 7.5135
_cell_length_c 9.5604
_cell_angle_alpha 108.37
_cell_angle_beta 91.95
_cell_angle_gamma 106.10
_space_group_name_H-M_alt 'P -1'
_space_group_IT_number 2
loop_
_space_group_symop_operation_xyz
'x,y,z'
'-x,-y,-z'
loop_
_atom_site_label
_atom_site_type_symbol
_atom_site_fract_x
_atom_site_fract_y
_atom_site_fract_z
Rb1 Rb 0.1855 0.3777 0.1714
Cu1 Cu 0.0174 0.9523 0.2961
Te1 Te 0.1384 0.2867 0.5447
Te2 Te 0.4900 0.9245 0.1430
As1 As 0.5000 0.0000 0.5000
```

=====

(2)
# Ti2CuAs2

A relaxed Ti2CuAs2 crystal (PBE-GGA, Alexandria via LeMat-Bulk).

## Properties
DFT formation energy = -432 meV per atom

```
data_Ti2CuAs2
_cell_length_a 6.9519
_cell_length_b 6.9519
_cell_length_c 3.4150
_cell_angle_alpha 90.00
_cell_angle_beta 90.00
_cell_angle_gamma 90.00
_space_group_name_H-M_alt 'P 4/m b m'
_space_group_IT_number 127
_space_group_name_Hall '-P 4 2ab'
loop_
_atom_site_label
_atom_site_type_symbol
_atom_site_fract_x
_atom_site_fract_y
_atom_site_fract_z
Ti1 Ti 0.1449 0.3551 0.0000
Cu1 Cu 0.0000 0.0000 0.0000
As1 As 0.1557 0.6557 0.5000
```

=====

Number 1: density of states at the Fermi level 2.664 states/eV/cell. Number 2: density of states at the Fermi level 4.566 states/eV/cell.